1.
The following is a PBE calculation of an optimized crystal structure of Bi2BRh, from Alexandria.

- Uncorrected energy: -4.651 eV per atom
- ΔE_f: 797.0 meV per atom
- Energy above the lowest structure with this stoichiometry: 0.68 eV/f.u.

a b c (Å): 4.831 4.831 4.831
angles (deg): 60.00 60.00 60.00
Atoms (fractional coordinates):
B 0.000 0.000 0.000
Bi 0.750 0.750 0.750
Bi 0.250 0.250 0.250
Rh 0.500 0.500 0.500



2.
The following is a PBE calculation of an optimized crystal structure of VOsBr2, from Alexandria.

- Uncorrected energy: -5.275 eV per atom
- Energy above the lowest structure with this stoichiometry: 0.00 eV/f.u.
- Energy relative to the elements, uncorrected: 0.65 eV/atom

a b c (Å): 8.522 8.522 8.522
angles (deg): 21.18 21.18 21.18
Atoms (fractional coordinates):
Os 0.000 0.000 0.000
V 0.500 0.500 0.500
Br 0.097 0.097 0.097
Br 0.903 0.903 0.903



3.
The following is a PBE calculation of an optimized crystal structure of NdThI4, from Alexandria.

- Uncorrected energy: -4.204 eV per atom
- Energy relative to the elements, uncorrected: -1.14 eV/atom

a b c (Å): 4.031 7.004 8.933
angles (deg): 104.80 90.00 90.00
Atoms (fractional coordinates):
I 0.000 0.249 0.757
I 0.000 0.751 0.243
Th 0.500 0.000 0.500
I 0.500 0.751 0.754
Nd 0.000 0.500 0.500
I 0.500 0.249 0.246